This record from the Alexandria database describes a crystal of LiTl2Pd2 relaxed with PBEsol. The functional is SCAN.

Properties
ΔE_f (kJ per mole of atoms): -24.26
Fermi-level density of states (states/eV/atom): 0.358
Space group: P4/mbm
Total magnetic moment (μB per cell): 0.00

Cell lengths 7.232, 7.232, 3.592 Å; angles 90.00, 90.00, 90.00 degrees
Fractional positions:
Li 0.000 0.000 0.000
Li 0.500 0.500 0.000
Tl 0.164 0.336 0.500
Tl 0.336 0.836 0.500
Tl 0.664 0.164 0.500
Tl 0.836 0.664 0.500
Pd 0.138 0.638 0.000
Pd 0.362 0.138 0.000
Pd 0.638 0.862 0.000
Pd 0.862 0.362 0.000